(1)
K6Cd4Sn3Se13 GGA-PBE optimized geometry; formation energy (no corrections) = -0.789 eV per atom
1.0
-9.9787 -1.0749 -2.1535
-0.5460 -4.6350 9.1425
-0.9070 9.5104 3.7547
K Cd Se Sn
6 4 13 3
Cartesian
-0.3318 -2.6610 5.2769
-4.4027 -0.6064 7.8467
-8.4569 0.9237 2.9917
-0.5395 5.4778 2.1769
-5.7590 -0.6126 -1.2225
-4.5579 5.4732 5.5310
-7.5402 5.2428 7.9488
-10.2356 2.0978 6.1934
-7.4330 1.0401 9.5496
-6.0180 2.0007 5.6559
-3.5818 2.4704 6.7259
-5.1432 5.6888 9.0689
-1.8608 3.8927 10.3448
-6.2247 -0.6135 5.0046
-7.8755 2.6182 7.4016
-8.8921 6.5465 1.9245
-6.3299 3.5076 3.4349
-5.0378 1.5590 10.6419
-7.7029 -1.5507 8.9061
-7.9144 6.7347 5.7503
-10.5629 3.6443 4.0254
-10.4568 -0.5114 5.6082
-8.6230 -3.9977 5.9407
-8.2125 -1.5218 6.3782
-8.3792 5.0096 3.8905
-4.0238 3.3658 9.1062

(2)
SiNi8Ge2 GGA-PBE optimized geometry; energy relative to the lowest polymorph listed for this composition = 14 meV/atom; formation energy (no corrections) = -0.291 eV per atom
1.0
-2.2051 2.6526 1.4637
-4.1828 -3.6833 0.3732
4.5352 -1.4778 4.7140
Ni Ge Si
8 2 1
Cartesian
-2.0283 -1.6177 4.6722
0.1756 -0.8908 1.8788
1.1385 0.3136 5.9433
0.4967 -2.1584 4.6598
-2.3495 -0.3501 1.8913
-3.8260 -2.1426 2.9152
-2.9912 -2.8221 0.6078
1.9733 -0.3659 3.6358
-0.4053 0.0212 4.1474
-1.4475 -2.5297 2.4036
-1.1026 1.3263 0.7319

(3)
Ba2LiInAg6 GGA-PBE optimized geometry; energy of formation = -99 meV/atom
1.0
-1.9791 6.4462 2.7556
-6.8051 -1.2256 -2.3243
-5.7895 0.5202 4.6773
In Ag Ba Li
1 6 2 1
Cartesian
0.0000 0.0000 0.0000
-4.6222 1.3510 2.3275
-3.2737 4.3934 1.3957
-12.1362 4.5995 4.5331
-9.9515 4.3898 2.7811
-2.4375 1.1413 0.5755
-11.3000 1.3474 3.7129
-6.2645 4.4972 3.6334
-8.3092 1.2436 1.4752
-4.3921 2.6103 0.2157

(4)
LaHoGaCu GGA-PBE optimized geometry; energy of formation = -362 meV/atom
1.0
-3.4647 -3.0851 -2.2059
1.4492 -4.5495 -1.8947
-1.4409 -4.3364 2.3467
La Cu Ho Ga
1 1 1 1
Cartesian
-2.5923 -8.9783 -1.3154
-1.7282 -5.9855 -0.8769
-0.8641 -2.9928 -0.4385
0.0000 0.0000 0.0000

(5)
ScCdRh GGA-PBE optimized geometry; energy of formation = -601 meV/atom
1.0
-2.1605 -2.3123 0.3565
-0.3490 -0.3831 -4.5992
6.6419 -4.0387 -0.1676
Cd Sc Rh
2 2 2
Cartesian
2.2066 -2.5928 -3.4447
1.9259 -4.1412 -0.9656
3.3497 -5.8257 -3.2621
0.7827 -0.9083 -1.1481
-0.6006 -2.1359 -3.2697
4.7331 -4.5982 -1.1406

(6)
MgZnTe2 GGA-PBE optimized geometry; formation energy (no corrections) = -0.184 eV per atom
1.0
5.6985 -0.0473 0.0484
-0.0918 5.6980 -0.0484
-1.3635 -4.2540 3.5387
Te Mg Zn
2 1 1
Cartesian
0.0723 0.0728 0.0000
2.7311 2.7525 0.0000
3.5692 -0.7379 1.7935
0.6740 2.1347 1.7451